## 1
A relaxed structure of NpB2H6. Source: Alexandria via LeMat-Bulk, functional PBE-GGA.

The space group is Fm-3m (No. 225) and the conventional cell measures 6.136, 6.136 and 6.136 Å, with angles of 90.00, 90.00 and 90.00 degrees. Symmetry generates all atoms from Np at (0.000, 0.000, 0.000), B at (0.250, 0.250, 0.250) and H at (0.000, 0.000, 0.324).

=====

## 2
A relaxed structure of NpB2H6. Source: Alexandria via LeMat-Bulk, functional PBE-GGA.

The space group is Ibam (No. 72) and the conventional cell measures 5.767, 6.759 and 6.872 Å, with angles of 90.00, 90.00 and 90.00 degrees. Symmetry generates all atoms from Np at (0.000, 0.000, 0.250), B at (0.221, 0.292, 0.000), H at (0.136, 0.355, 0.153) and H at (0.247, 0.110, 0.000).

=====

Tell me which of them is the least stable. Sure, it is 1.

=====

## 1
A relaxed structure of SrB12H12O8. Source: Alexandria via LeMat-Bulk, functional PBE-GGA.

The space group is R-3 (No. 148, hexagonal axes) and the conventional cell measures 10.9326, 10.9326 and 9.8555 Å, with angles of 90.00, 90.00 and 120.00 degrees. Symmetry generates all atoms from Sr at (0.0000, 0.0000, 0.0000), B at (0.0421, 0.1333, 0.3561), B at (0.0532, 0.1720, 0.5293), H at (0.0383, 0.4619, 0.2000), H at (0.0767, 0.2333, 0.2844), O at (0.0000, 0.0000, 0.2702) and O at (0.0282, 0.5066, 0.5577).

=====

## 2
A relaxed structure of SrB12H12O8. Source: Alexandria via LeMat-Bulk, functional PBE-GGA.

The space group is R-3 (No. 148, hexagonal axes) and the conventional cell measures 8.6256, 8.6256 and 16.0739 Å, with angles of 90.00, 90.00 and 120.00 degrees. Symmetry generates all atoms from Sr at (0.0000, 0.0000, 0.0000), B at (0.0595, 0.1348, 0.4145), B at (0.0989, 0.5370, 0.1899), H at (0.0517, 0.9269, 0.1841), H at (0.0988, 0.2279, 0.3552), O at (0.0000, 0.0000, 0.2146) and O at (0.0722, 0.5560, 0.7862).

=====

Tell me which of them is the least stable. Sure, it is 1.